CuHW3 (GGA-PBE, relaxed); size of the total moment = 0.000 Bohr magnetons per cell; energy above the most stable polymorph in this dataset = 0.000 eV/atom
1.0
3.982 0.000 0.000
0.000 3.982 0.000
0.000 0.000 3.982
W H Cu
3 1 1
direct
0.000 0.000 0.500
0.500 0.000 0.000
0.000 0.500 0.000
0.000 0.000 0.000
0.500 0.500 0.500